No. 1
Compound: Dy2YS2
Source: Alexandria
Functional: PBE
Structure: optimized geometry

Lattice parameters (Å, degrees): 3.824 3.824 9.787 78.73 78.73 60.00
Last column: magnetic moment on the atom in μB.
Positions (direct):
Dy  0.216  0.216  0.351  0.22
Dy  0.784  0.784  0.649  0.22
Y  0.000  0.000  0.000  -0.02
S  0.609  0.609  0.173  0.00
S  0.391  0.391  0.827  0.00

calculated volume	24.152	Å³/atom



No. 2
Compound: DyYS2
Source: Alexandria
Functional: PBE
Structure: optimized geometry

Lattice parameters (Å, degrees): 3.830 3.830 7.123 74.40 74.40 60.00
Positions (direct):
Dy  0.494  0.494  0.517
Y  0.673  0.673  0.982
S  0.082  0.082  0.754
S  0.251  0.251  0.247

excess energy over the best structure of this formula in the dataset	33	meV/atom
calculated volume	21.500	Å³/atom



No. 3
Compound: Dy5YS6
Source: Alexandria
Functional: PBE
Structure: optimized geometry

Lattice parameters (Å, degrees): 6.757 6.765 6.778 60.06 80.34 70.35
Positions (direct):
Y  0.000  0.000  0.000
S  0.749  0.083  0.334
S  0.251  0.582  0.334
S  0.250  0.251  0.000
S  0.750  0.749  0.000
S  0.749  0.418  0.666
S  0.251  0.917  0.666
Dy  0.500  0.166  0.668
Dy  0.000  0.333  0.333
Dy  0.500  0.500  0.000
Dy  0.000  0.667  0.667
Dy  0.500  0.834  0.332

calculated volume	21.070	Å³/atom



No. 4
Compound: Dy3YS4
Source: Alexandria
Functional: PBE
Structure: optimized geometry

Lattice parameters (Å, degrees): 5.528 5.528 5.528 90.00 90.00 90.00
Positions (direct):
Dy  0.000  0.500  0.500
Dy  0.500  0.000  0.500
Dy  0.500  0.500  0.000
Y  0.000  0.000  0.000
S  0.500  0.000  0.000
S  0.000  0.500  0.000
S  0.000  0.000  0.500
S  0.500  0.500  0.500

excess energy over the best structure of this formula in the dataset	8	meV/atom
calculated volume	21.112	Å³/atom



No. 5
Compound: Dy3YS6
Source: Alexandria
Functional: PBE
Structure: optimized geometry

Lattice parameters (Å, degrees): 8.037 8.037 8.037 91.08 91.08 91.08
Positions (direct):
Dy  0.433  0.924  0.753
Dy  0.924  0.753  0.433
Dy  0.247  0.567  0.076
Dy  0.753  0.433  0.924
Dy  0.076  0.247  0.567
Dy  0.567  0.076  0.247
Y  0.000  0.000  0.000
Y  0.500  0.500  0.500
S  0.316  0.908  0.081
S  0.092  0.919  0.684
S  0.595  0.820  0.465
S  0.919  0.684  0.092
S  0.465  0.595  0.820
S  0.180  0.535  0.405
S  0.820  0.465  0.595
S  0.535  0.405  0.180
S  0.081  0.316  0.908
S  0.405  0.180  0.535
S  0.908  0.081  0.316
S  0.684  0.092  0.919

calculated volume	25.943	Å³/atom



No. 6
Compound: Dy6Y2S3
Source: Alexandria
Functional: PBE
Structure: optimized geometry

Lattice parameters (Å, degrees): 3.745 3.745 24.531 85.62 85.62 60.00
Positions (direct):
Dy  0.069  0.069  0.794
Dy  0.931  0.931  0.206
Dy  0.186  0.186  0.443
Dy  0.814  0.814  0.557
Dy  0.357  0.357  0.929
Dy  0.643  0.643  0.071
Y  0.442  0.442  0.674
Y  0.558  0.558  0.326
S  0.000  0.000  0.000
S  0.288  0.288  0.137
S  0.712  0.712  0.863

calculated volume	26.976	Å³/atom



Number 1: ΔE_f (raw) -1.573 eV per atom. Number 2: ΔE_f (raw) -1.964 eV per atom. Number 3: ΔE_f (raw) -1.997 eV per atom. Number 4: ΔE_f (raw) -1.984 eV per atom. Number 5: ΔE_f (raw) -2.063 eV per atom. Number 6: ΔE_f (raw) -1.043 eV per atom.